The following is a DFT calculation (GGA-PBE) of Pr3Se3S after structural relaxation.

For the formation energy from raw total energies, the calculation gives -1695 meV per atom. The size of the total moment comes out at 0.0 μB per cell. As for the final energy: -5.826 eV per atom.

The space group is C2/m (No. 12) and the conventional cell measures 8.8258, 12.3813 and 7.6919 Å, with angles of 90.00, 90.07 and 90.00 degrees. The distinct sites, in fractional coordinates, are Pr at (0.0648, 0.0000, 0.2820), Pr at (0.1331, 0.3476, 0.2037), Se at (0.0000, 0.1619, 0.0000), Se at (0.0000, 0.2248, 0.5000), Se at (0.1337, 0.5000, 0.8687) and S at (0.2378, 0.0000, 0.5906).

=====

The following is a DFT calculation (GGA-PBE) of Pr5Se5S after structural relaxation.

For the formation energy from raw total energies, the calculation gives -1908 meV per atom. The size of the total moment comes out at 0.0 μB per cell. As for the final energy: -6.040 eV per atom.

The space group is C2/m (No. 12) and the conventional cell measures 13.4340, 5.9696 and 8.4053 Å, with angles of 90.00, 108.27 and 90.00 degrees. The distinct sites, in fractional coordinates, are Pr at (0.0000, 0.0000, 0.0000), Pr at (0.1574, 0.5000, 0.8311), Pr at (0.1610, 0.5000, 0.3296), Se at (0.0000, 0.5000, 0.5000), Se at (0.1684, 0.0000, 0.8337), Se at (0.1694, 0.0000, 0.3337) and S at (0.0000, 0.5000, 0.0000).

=====

The following is a DFT calculation (GGA-PBE) of Pr4Se2S after structural relaxation.

For the formation energy from raw total energies, the calculation gives -1561 meV per atom. The size of the total moment comes out at 0.0 μB per cell. As for the final energy: -5.878 eV per atom.

The space group is P-1 (No. 2) and the conventional cell measures 4.1251, 7.1291 and 8.0625 Å, with angles of 115.74, 104.77 and 90.03 degrees. The distinct sites, in fractional coordinates, are Pr at (0.1184, 0.4462, 0.2357), Pr at (0.3806, 0.0399, 0.7603), Se at (0.2554, 0.2575, 0.5117) and S at (0.0000, 0.0000, 0.0000).